No. 1
Crystalline La3DySn4 at its relaxed geometry. Source: Alexandria, functional GGA-PBE.

Summary:
Formation energy from the elements (eV/atom): -0.610
DOS(E_F) (states/eV per cell): 11.22
Calculated volume (Å³ per cell): 532
Total energy (eV/atom): -5.035

Cell lengths 4.1620, 7.1937, 17.7807 Å; angles 90.00, 90.00, 90.00 degrees
Space group Immm (No. 71)
Unique sites:
La1 0.0000 0.0000 0.0000 x2
La2 0.0000 0.5000 0.2043 x4
Dy1 0.0000 0.0000 0.5000 x2
Sn1 0.0000 0.2950 0.3731 x8


No. 2
Crystalline AlSbRh at its relaxed geometry. Source: Alexandria, functional GGA-PBE.

Summary:
DOS(E_F) (states/eV per cell): 1.40
Formation energy from raw total energies (eV/f.u.): -0.91
Calculated volume (Å³ per cell): 56
Total energy (eV/atom): -5.377

Cell lengths 3.2552, 3.2552, 6.0913 Å; angles 90.00, 90.00, 120.00 degrees
Space group P3m1 (No. 156)
Unique sites:
Al1 0.0000 0.0000 0.0000 x1
Sb1 0.3333 0.6667 0.6025 x1
Rh1 0.6667 0.3333 0.2790 x1


No. 3
Crystalline TaAsPt2 at its relaxed geometry. Source: Alexandria, functional GGA-PBE.

Summary:
Formation energy from the elements (eV/atom): -0.393
DOS(E_F) (states/eV per cell): 1.43
Calculated volume (Å³ per cell): 66
Total energy (eV/atom): -7.539

Cell lengths 2.9534, 3.9892, 5.7633 Å; angles 90.00, 104.81, 90.00 degrees
Space group Pm (No. 6)
Unique sites:
Ta1 0.0000 0.0000 0.0000 x1
As1 0.6164 0.5000 0.2300 x1
Pt1 0.3827 0.5000 0.7640 x1
Pt2 0.7467 0.0000 0.4957 x1


No. 4
Crystalline NdAgBi2 at its relaxed geometry. Source: Alexandria, functional GGA-PBE.

Summary:
Formation energy from the elements (eV/atom): -0.427
DOS(E_F) (states/eV per cell): 2.51
Calculated volume (Å³ per cell): 111
Total energy (eV/atom): -4.273

Cell lengths 4.9760, 4.9760, 4.4821 Å; angles 90.00, 90.00, 90.00 degrees
Space group P4/mmm (No. 123)
Unique sites:
Nd1 0.0000 0.0000 0.0000 x1
Ag1 0.5000 0.5000 0.0000 x1
Bi1 0.0000 0.5000 0.5000 x2


Q: Which value of total energy does entry 4 give?
A: -4.273 eV/atom


Q: Among the records above, which one has the lowest DOS(E_F)?
A: AlSbRh


Q: The highest calculated volume belongs to which entry?
A: La3DySn4